No. 1
PBE Ho4ErGe4, optimized geometry; raw total energy = -5.171 eV/atom; space group = No. 86; DOS at the Fermi energy = 0.991 states/eV/atom
1.0
9.0578 0.0000 0.0000
0.0000 9.0578 0.0000
0.0000 0.0000 5.7976
Ho Er Ge
8 2 8
Cartesian
0.6939 5.9552 0.7854
1.4263 8.3639 3.6842
3.1026 5.2228 3.6842
3.8350 7.6315 0.7854
5.2228 1.4263 5.0122
5.9552 3.8350 2.1134
7.6315 0.6939 2.1134
8.3639 3.1026 5.0122
2.2644 2.2644 1.4494
6.7933 6.7933 4.3482
0.2258 5.6168 3.6842
1.0879 8.8320 0.7854
3.4410 4.7547 0.7854
4.3031 7.9699 3.6842
4.7547 1.0879 2.1134
5.6168 4.3031 5.0122
7.9699 0.2258 5.0122
8.8320 3.4410 2.1134

No. 2
PBE Th4SiGeP2, optimized geometry; space group = No. 10; raw formation energy = -862 kJ/mol of formula units; DOS at the Fermi energy = 0.571 states/eV/atom
1.0
7.2821 0.0000 0.0000
0.0000 4.2285 0.0000
-2.4629 0.0000 6.8959
Th Si Ge P
4 1 1 2
Cartesian
1.1755 0.0000 1.6992
-0.0554 2.1142 5.1745
4.8747 2.1142 1.7214
3.6437 0.0000 5.1967
3.6411 0.0000 0.0000
2.4096 2.1142 3.4480
-1.2314 0.0000 3.4480
0.0000 2.1142 0.0000

No. 3
PBE Pr7Si2Sn2, optimized geometry; space group = No. 65; raw formation energy = -240 kJ/mol of formula units; DOS at the Fermi energy = 0.969 states/eV/atom
1.0
3.8443 -5.6462 0.0000
3.8443 5.6462 0.0000
0.0000 0.0000 8.0495
Pr Si Sn
7 2 2
Cartesian
0.0000 0.0000 0.0000
1.9222 2.8231 2.4279
1.9222 2.8231 5.6216
1.9222 -2.8231 2.4279
1.9222 -2.8231 5.6216
3.8443 0.0000 2.2401
3.8443 0.0000 5.8094
1.2111 0.0000 4.0248
6.4775 0.0000 4.0248
3.8443 2.2897 0.0000
3.8443 -2.2897 0.0000

No. 4
PBE Nb3InFe8, optimized geometry; raw total energy = -8.484 eV/atom; space group = No. 156; DOS at the Fermi energy = 1.111 states/eV/atom
1.0
4.8499 0.0000 0.0000
-2.4250 4.2002 0.0000
0.0000 0.0000 7.8982
Nb In Fe
3 1 8
Cartesian
0.0000 0.0000 0.0000
0.0000 0.0000 2.9372
0.0000 2.8001 6.8657
0.0000 2.8001 3.9177
-1.1992 2.1078 1.4380
1.2030 0.6946 5.4563
1.1992 2.1078 1.4380
0.0000 4.1848 1.4380
2.4250 1.4001 3.4271
2.4250 1.4001 7.4381
3.6469 0.6946 5.4563
2.4250 2.8111 5.4563

No. 5
PBE Zr6CuTc5, optimized geometry; raw total energy = -9.287 eV/atom; space group = No. 71; DOS at the Fermi energy = 0.627 states/eV/atom
1.0
-2.3354 3.3019 6.9580
2.3354 -3.3019 6.9580
2.3354 3.3019 -6.9580
Zr Cu Tc
6 1 5
Cartesian
2.3354 1.6307 -2.3465
0.0000 1.6123 0.0000
2.3354 1.6307 2.3465
0.0000 1.6712 4.6114
0.0000 4.9914 0.0000
0.0000 1.6712 9.3045
0.0000 0.0000 6.9580
2.3354 0.0000 0.0000
0.0000 0.0000 2.3182
2.3354 0.0000 4.6732
0.0000 3.3019 2.2847
0.0000 0.0000 11.5977

No. 6
PBE NaBiC2O6, optimized geometry; space group = No. 15; raw formation energy = -1433 kJ/mol of formula units; DOS at the Fermi energy = 0.000 states/eV/atom
1.0
4.2791 -5.0045 0.0000
4.2791 5.0045 0.0000
-1.9156 0.0000 6.2738
Na Bi C O
2 2 4 12
Cartesian
2.8424 3.6682 4.7053
3.8002 -3.6682 1.5684
3.8002 1.5274 1.5684
2.8424 -1.5274 4.7053
0.6834 1.0672 4.7924
1.6412 -1.0672 1.6555
5.0014 1.0672 4.6183
5.9592 -1.0672 1.4814
2.5531 3.3598 2.2643
1.4627 1.8062 5.5272
1.7073 0.2202 1.6602
0.7496 -0.2202 4.7971
5.0473 3.3598 0.8726
4.2221 1.8062 3.8835
2.4205 -1.8062 2.3903
1.5953 -3.3598 5.4012
5.8930 0.2202 1.4767
4.9353 -0.2202 4.6136
5.1799 -1.8062 0.7466
4.0895 -3.3598 4.0095

No. 7
PBE ScV3Ni, optimized geometry; space group = No. 221; DOS at the Fermi energy = 1.337 states/eV/atom; energy relative to the lowest polymorph listed for this composition = 0.000 eV per formula unit
1.0
4.4306 0.0000 0.0000
0.0000 4.4306 0.0000
0.0000 0.0000 4.4306
Sc V Ni
1 3 1
Cartesian
0.0000 0.0000 0.0000
0.0000 2.2153 2.2153
2.2153 0.0000 2.2153
2.2153 2.2153 0.0000
2.2153 2.2153 2.2153

No. 8
PBE Al2Sb, optimized geometry; space group = No. 8; raw formation energy = 46 kJ/mol of formula units; DOS at the Fermi energy = 0.358 states/eV/atom
1.0
5.3437 -1.8761 0.0000
5.3437 1.8761 0.0000
-1.0934 0.0000 6.4645
Al Sb
4 2
Cartesian
0.0000 0.0000 0.0000
0.4550 0.0000 4.1820
3.2438 0.0000 4.6517
7.6725 0.0000 2.7759
4.8233 0.0000 2.1789
6.6558 0.0000 6.3047

No. 9
PBE Co2AgSb, optimized geometry; space group = No. 8; raw formation energy = 126 kJ/mol of formula units; DOS at the Fermi energy = 1.231 states/eV/atom
1.0
4.7829 -1.5211 0.0000
4.7829 1.5211 0.0000
-1.4535 0.0000 4.2230
Co Ag Sb
2 1 1
Cartesian
0.0000 0.0000 0.0000
6.2662 0.0000 1.3447
1.1154 0.0000 3.5800
3.6839 0.0000 2.0309

No. 10
PBE Li2Pb, optimized geometry; raw total energy = -2.785 eV/atom; space group = No. 8; DOS at the Fermi energy = 0.314 states/eV/atom
1.0
4.6978 -2.2740 0.0000
4.6978 2.2740 0.0000
-1.8161 0.0000 5.7286
Li Pb
4 2
Cartesian
0.0000 0.0000 0.0000
-0.9004 0.0000 2.8646
2.8454 0.0000 1.0986
4.7441 0.0000 4.6240
1.8511 0.0000 3.9759
5.7426 0.0000 1.7469

No. 11
PBE Pm2AlNi3Pt12, optimized geometry; raw total energy = -5.852 eV/atom; space group = No. 166; DOS at the Fermi energy = 0.876 states/eV/atom
1.0
3.9906 2.3040 6.4428
-3.9906 2.3040 6.4428
0.0000 -4.6079 6.4428
Pm Al Ni Pt
2 1 3 12
Cartesian
0.0000 0.0000 2.3242
0.0000 0.0000 17.0043
0.0000 0.0000 9.6643
-1.9953 -1.1520 6.4428
-1.9953 1.1520 12.8857
0.0000 2.3040 6.4428
-2.0025 -1.1562 8.8759
0.0000 -2.2747 5.6615
-1.9699 1.1373 5.6615
0.0000 -2.3123 10.4526
-2.0026 1.1562 10.4526
-1.9699 -1.1373 13.6670
1.9699 1.1373 5.6615
2.0025 -1.1562 8.8759
0.0000 2.3123 8.8759
1.9699 -1.1373 13.6670
0.0000 2.2747 13.6670
2.0025 1.1562 10.4526

No. 12
PBE Na2Cd6HgAu, optimized geometry; raw total energy = -1.244 eV/atom; space group = No. 59; DOS at the Fermi energy = 0.298 states/eV/atom
1.0
7.6916 0.0000 0.0000
0.0000 9.5245 0.0000
0.0000 0.0000 6.9053
Na Cd Hg Au
4 12 2 2
Cartesian
1.9229 0.3561 0.9993
1.9229 4.4061 0.9993
5.7687 5.1184 5.9059
5.7687 9.1684 5.9059
0.4281 7.1434 6.5628
0.4457 2.3811 3.1444
1.9229 5.0493 4.5754
1.9229 9.2374 4.5754
3.4002 2.3811 3.1444
3.4177 7.1434 6.5628
4.2739 2.3811 0.3425
4.2915 7.1434 3.7608
5.7687 0.2871 2.3299
5.7687 4.4752 2.3299
7.2460 7.1434 3.7608
7.2635 2.3811 0.3425
1.9229 7.1434 2.1962
5.7687 2.3811 4.7090
1.9229 2.3811 5.6271
5.7687 7.1434 1.2782

No. 13
PBE Bi3MoIr, optimized geometry; space group = No. 221; DOS at the Fermi energy = 0.798 states/eV/atom; energy relative to the lowest polymorph listed for this composition = 0.000 eV per formula unit
1.0
5.3421 0.0000 0.0000
0.0000 5.3421 0.0000
0.0000 0.0000 5.3421
Bi Mo Ir
3 1 1
Cartesian
0.0000 0.0000 2.6710
0.0000 2.6710 0.0000
2.6710 0.0000 0.0000
2.6710 2.6710 2.6710
0.0000 0.0000 0.0000

No. 14
PBE Nd3Zn4In, optimized geometry; raw total energy = -2.953 eV/atom; space group = No. 71; DOS at the Fermi energy = 0.802 states/eV/atom
1.0
-1.9002 3.3865 7.9591
1.9002 -3.3865 7.9591
1.9002 3.3865 -7.9591
Nd Zn In
3 4 1
Cartesian
0.0000 0.0000 0.0000
1.9002 0.0000 4.7605
0.0000 3.3865 3.1986
1.9002 1.3094 -2.0149
1.9002 1.3094 2.0149
0.0000 2.0771 5.9442
0.0000 2.0771 9.9740
0.0000 0.0000 7.9591

No. 15
PBE AcNdRh2, optimized geometry; space group = No. 160; DOS at the Fermi energy = 0.163 states/eV/atom; energy relative to the lowest polymorph listed for this composition = 0.855 eV per formula unit
1.0
2.0546 1.1862 7.1935
-2.0546 1.1862 7.1935
0.0000 -2.3724 7.1935
Ac Nd Rh
1 1 2
Cartesian
0.0000 0.0000 0.0000
0.0000 0.0000 17.8767
0.0000 0.0000 5.3230
0.0000 0.0000 8.9520

No. 16
PBE Be2TlFe, optimized geometry; space group = No. 44; DOS at the Fermi energy = 0.206 states/eV/atom; energy relative to the lowest polymorph listed for this composition = 0.454 eV per formula unit
1.0
-1.6541 1.7940 4.3973
1.6541 -1.7940 4.3973
1.6541 1.7940 -4.3973
Be Tl Fe
2 1 1
Cartesian
0.0000 0.0000 0.0000
0.0000 1.7940 1.4492
1.6541 0.0000 2.2458
0.0000 0.0000 4.4124

No. 17
PBE TiMn2Te5, optimized geometry; space group = No. 69; raw formation energy = -66 kJ/mol of formula units; DOS at the Fermi energy = 0.597 states/eV/atom
1.0
0.0000 5.8367 7.0954
2.6328 0.0000 7.0954
2.6328 5.8367 0.0000
Ti Mn Te
1 2 5
Cartesian
0.0000 0.0000 0.0000
2.6328 5.8367 4.2783
2.6328 5.8367 9.9125
2.6328 1.7761 4.9457
2.6328 1.7761 9.2450
2.6328 5.8367 7.0954
2.6328 9.8973 4.9457
2.6328 9.8973 9.2450

No. 18
PBE Li2LuMg, optimized geometry; space group = No. 225; DOS at the Fermi energy = 1.118 states/eV/atom; energy relative to the lowest polymorph listed for this composition = 0.134 eV per formula unit
1.0
0.0000 3.5228 3.5228
3.5228 0.0000 3.5228
3.5228 3.5228 0.0000
Li Lu Mg
2 1 1
Cartesian
1.7614 1.7614 1.7614
5.2842 5.2842 5.2842
0.0000 0.0000 0.0000
3.5228 3.5228 3.5228

No. 19
PBE MgPaTcRu, optimized geometry; raw total energy = -7.924 eV/atom; space group = No. 216; DOS at the Fermi energy = 1.047 states/eV/atom
1.0
0.0000 3.2857 3.2857
3.2857 0.0000 3.2857
3.2857 3.2857 0.0000
Mg Pa Tc Ru
1 1 1 1
Cartesian
0.0000 0.0000 0.0000
3.2857 3.2857 3.2857
4.9286 4.9286 4.9286
1.6429 1.6429 1.6429

No. 20
PBE Th2Sn2Ru4C, optimized geometry; raw total energy = -7.731 eV/atom; space group = No. 139; DOS at the Fermi energy = 0.895 states/eV/atom
1.0
-3.1659 3.1659 4.1921
3.1659 -3.1659 4.1921
3.1659 3.1659 -4.1921
Th Sn Ru C
2 2 4 1
Cartesian
0.0000 0.0000 1.7888
0.0000 0.0000 6.5955
3.1659 0.0000 2.0961
0.0000 3.1659 2.0961
1.6595 1.6595 0.0000
1.5064 -1.5064 4.1921
-1.5064 1.5064 4.1921
1.5064 1.5064 4.1921
0.0000 0.0000 4.1921